Density functional theory data (PBE-GGA) for a relaxed TmTl3F6 crystal. Values from VASP.

Density in Mg/m³: 7.05
Fermi-level density of states in states/eV/f.u.: 0.0
Total energy in eV/atom: -5.03
Space-group type: No. 14
Calculated volume in Å³/cell: 422
Formation energy (no corrections) in eV per atom: -2.746

Geometry as Quantum ESPRESSO input:
```
&SYSTEM
  ibrav = 0, nat = 20, ntyp = 3
/
ATOMIC_SPECIES
F 19.00 F.upf
Tm 168.93 Tm.upf
Tl 204.38 Tl.upf
CELL_PARAMETERS angstrom
-5.8833 -1.0812 2.6284
-0.1495 -6.2117 -2.8898
3.9942 -3.6812 7.7062
ATOMIC_POSITIONS angstrom
F -2.5064 -4.4984 2.5047
F -1.6252 -4.2681 5.3973
F -2.4819 -6.9577 4.3193
F 0.4432 -4.0164 3.1254
F -0.4752 -5.3101 8.7987
F -0.4135 -6.7060 2.0474
F -0.6843 -2.0408 0.1584
F 2.4918 -3.3275 6.1931
F -1.3544 -8.9333 7.2863
F -4.5305 -7.6466 1.2517
F -1.5635 -5.6640 -1.3539
F 0.4677 -6.4757 4.9401
Tm 0.0000 0.0000 0.0000
Tm -1.0193 -5.4870 3.7224
Tl -0.1450 -9.2913 4.3806
Tl 1.9971 -1.8406 3.8531
Tl -3.0164 -3.6464 -0.1307
Tl -1.8937 -1.6828 3.0641
Tl -2.9010 -6.6721 7.0180
Tl 0.8623 -4.3020 0.4267
```